# BeRuCl2

Crystalline BeRuCl2 at its relaxed geometry (PBE, Alexandria).

Summary:
The offset from the most stable computed form is 117.5 kJ/mol of formula units. For the raw formation energy, the calculation gives 0.27 eV per formula unit. The calculation puts the total energy at -4.11 eV per atom. The density of states at the Fermi level is 0.44 states/eV/atom. For the volume, the calculation gives 91.4 Å³/cell.

abc: 11.564 11.564 11.564
angles: 15.10 15.10 15.10
Positions (direct):
Cl 0.455 0.455 0.455
Cl 0.045 0.045 0.045
Be 0.750 0.750 0.750
Ru 0.250 0.250 0.250

# MgScCd4

Crystalline MgScCd4 at its relaxed geometry (PBE, Alexandria).

Summary:
The offset from the most stable computed form is 2.7 kJ/mol of formula units. The calculation puts the total energy at -2.07 eV per atom. The density of states at the Fermi level is 0.50 states/eV/atom. The energy of formation is -0.143 eV/atom. For the volume, the calculation gives 131.7 Å³/cell.

abc: 3.314 6.494 7.945
angles: 119.68 77.96 75.22
Positions (direct):
Sc 0.500 0.500 0.500
Cd 0.670 0.995 0.666
Cd 0.164 0.503 0.168
Cd 0.330 0.005 0.334
Cd 0.836 0.497 0.832
Mg 0.000 0.000 0.000

# LaTeF2

Crystalline LaTeF2 at its relaxed geometry (PBE, Alexandria).

Summary:
The offset from the most stable computed form is 69.9 kJ/mol of formula units. For the raw formation energy, the calculation gives -10.72 eV per formula unit. The calculation puts the total energy at -5.63 eV per atom. The density of states at the Fermi level is 0.32 states/eV/atom. For the volume, the calculation gives 207.4 Å³/cell.

abc: 5.255 5.255 8.381
angles: 71.73 71.73 90.00
Positions (direct):
F 0.875 0.125 0.250
Te 0.500 0.500 0.000
La 0.750 0.250 0.500
La 0.000 0.000 0.000
F 0.875 0.125 0.750
F 0.375 0.125 0.750
Te 0.250 0.750 0.500
F 0.875 0.625 0.250

# InFe2Pb

Crystalline InFe2Pb at its relaxed geometry (PBE, Alexandria).

Summary:
The offset from the most stable computed form is 37.5 kJ/mol of formula units. The calculation puts the total energy at -5.47 eV per atom. The density of states at the Fermi level is 1.01 states/eV/atom. The energy of formation is 0.378 eV/atom. For the volume, the calculation gives 74.2 Å³/cell.

abc: 3.999 3.636 5.414
angles: 70.47 90.00 90.00
Positions (direct):
Fe 0.000 0.189 0.999
Pb 0.500 0.778 0.821
In 0.000 0.478 0.418
Fe 0.500 0.055 0.262